Below is a geometry-optimized RbSrTl2 structure, with properties calculated at the PBE level.

Cell and atoms, written as POSCAR:
```
RbSrTl2
1.0
4.0777 0.0000 0.0000
2.0388 3.5314 0.0000
2.0388 1.1771 11.3925
Sr Tl Rb
1 2 1
direct
0.0000 0.0000 0.0000
0.7431 0.7431 0.7706
0.2569 0.2569 0.2294
0.5000 0.5000 0.5000
```

Size of the total moment (μB per atom): 0.000
Calculated volume (Å³ per atom): 41.0
ΔE_f (kJ/mol of formula units): -22.2
Final energy (eV per formula unit): -7.61